No. 1
Entry from Alexandria via LeMat-Bulk: Cr3FeOs after structural relaxation (GGA-PBE).

## Properties
- offset from the most stable computed form (eV/atom) = 0.000
- raw total energy (Ry/atom) = -0.6218

a = 4.108 Å, b = 4.108 Å, c = 4.108 Å
α = 90.00°, β = 90.00°, γ = 90.00°
Space group Pm-3m (No. 221)
One atom of each set of equivalent atoms:
Cr 0.000 0.000 0.500 x3
Fe 0.000 0.000 0.000 x1
Os 0.500 0.500 0.500 x1

No. 2
Entry from Alexandria via LeMat-Bulk: NdSmErPb after structural relaxation (GGA-PBE).

## Properties
- raw total energy (Ry/atom) = -0.3367

a = 7.870 Å, b = 7.870 Å, c = 7.870 Å
α = 90.00°, β = 90.00°, γ = 90.00°
Space group F-43m (No. 216)
One atom of each set of equivalent atoms:
Nd 0.000 0.000 0.000 x4
Sm 0.000 0.000 0.500 x4
Er 0.250 0.250 0.750 x4
Pb 0.250 0.250 0.250 x4

No. 3
Entry from Alexandria via LeMat-Bulk: Sr2LiGa after structural relaxation (GGA-PBE).

## Properties
- raw total energy (Ry/atom) = -0.1666

a = 3.983 Å, b = 3.983 Å, c = 8.368 Å
α = 90.00°, β = 90.00°, γ = 90.00°
Space group P4/mmm (No. 123)
One atom of each set of equivalent atoms:
Sr 0.000 0.000 0.220 x2
Li 0.500 0.500 0.500 x1
Ga 0.500 0.500 0.000 x1

No. 4
Entry from Alexandria via LeMat-Bulk: RbAgAuCl6 after structural relaxation (GGA-PBE).

## Properties
- raw total energy (Ry/atom) = -0.1983

a = 6.251 Å, b = 6.860 Å, c = 8.002 Å
α = 91.86°, β = 103.10°, γ = 108.06°
Space group P1 (No. 1)
One atom of each set of equivalent atoms:
Rb 0.000 0.000 0.000 x1
Ag 0.699 0.441 0.330 x1
Au 0.359 0.502 0.632 x1
Cl 0.007 0.301 0.674 x1
Cl 0.048 0.656 0.269 x1
Cl 0.349 0.238 0.431 x1
Cl 0.396 0.759 0.841 x1
Cl 0.593 0.194 0.079 x1
Cl 0.706 0.703 0.572 x1